Below is a PBEsol-optimized structure of Li6Br3N, with properties calculated at the SCAN level.

a b c (Å): 11.291 11.413 22.414
angles (deg): 90.00 90.00 90.00
Space group Ibca (No. 73)
One atom of each set of equivalent atoms:
Li (0.066, 0.108, 0.057) (multiplicity 16)
Li (0.108, 0.111, 0.464) (multiplicity 16)
Li (0.113, 0.067, 0.946) (multiplicity 16)
Li (0.135, 0.141, 0.219) (multiplicity 16)
Li (0.146, 0.178, 0.807) (multiplicity 16)
Li (0.183, 0.144, 0.693) (multiplicity 16)
Br (0.000, 0.250, 0.137) (multiplicity 8)
Br (0.000, 0.250, 0.386) (multiplicity 8)
Br (0.031, 0.000, 0.750) (multiplicity 8)
Br (0.229, 0.011, 0.128) (multiplicity 16)
Br (0.250, 0.229, 0.000) (multiplicity 8)
N (0.000, 0.000, 0.000) (multiplicity 8)
N (0.250, 0.250, 0.250) (multiplicity 8)

## Properties
- size of the total moment (μB per formula unit) = 0.11
- polymorph energy (0 for the lowest one) (meV/atom) = 0.0
- DOS(E_F) (states/eV/atom) = 0.0000

***

Below is a PBEsol-optimized structure of Li6Br3N, with properties calculated at the SCAN level.

a b c (Å): 8.871 8.871 8.871
angles (deg): 90.00 90.00 90.00
Space group Fm-3m (No. 225)
One atom of each set of equivalent atoms:
Li (0.000, 0.000, 0.213) (multiplicity 24)
Br (0.000, 0.000, 0.500) (multiplicity 4)
Br (0.250, 0.250, 0.250) (multiplicity 8)
N (0.000, 0.000, 0.000) (multiplicity 4)

## Properties
- size of the total moment (μB per formula unit) = 0.13
- polymorph energy (0 for the lowest one) (meV/atom) = 52.3
- DOS(E_F) (states/eV/atom) = 0.0000

***

Q: Among the records above, which one has the lowest polymorph energy (0 for the lowest one)?
A: number 1

***

Q: Among the records above, which one has the highest polymorph energy (0 for the lowest one)?
A: number 2